Record 1
# LiMnMo2 (PBE, relaxed)
data_LiMnMo2
_cell_length_a 2.7322
_cell_length_b 2.7322
_cell_length_c 28.7757
_cell_angle_alpha 90.00
_cell_angle_beta 90.00
_cell_angle_gamma 120.00
_space_group_name_H-M_alt 'R 3 m'
_space_group_IT_number 160
_space_group_name_Hall 'R 3 -2"'
loop_
_atom_site_label
_atom_site_type_symbol
_atom_site_fract_x
_atom_site_fract_y
_atom_site_fract_z
Li1 Li 0.0000 0.0000 0.0000
Mn1 Mn 0.0000 0.0000 0.2512
Mo1 Mo 0.0000 0.0000 0.5053
Mo2 Mo 0.0000 0.0000 0.7537
# - DOS at the Fermi energy (states/eV/atom) = 1.28
# - final energy (eV for the cell shown) = -92.99

---

Record 2
# YZrPb2 (PBE, relaxed)
data_YZrPb2
_cell_length_a 3.367
_cell_length_b 3.367
_cell_length_c 10.051
_cell_angle_alpha 90.00
_cell_angle_beta 90.00
_cell_angle_gamma 90.00
_space_group_name_H-M_alt 'P 4 m m'
_space_group_IT_number 99
_space_group_name_Hall 'P 4 -2'
loop_
_atom_site_label
_atom_site_type_symbol
_atom_site_fract_x
_atom_site_fract_y
_atom_site_fract_z
Y1 Y 0.000 0.000 0.000
Zr1 Zr 0.500 0.500 0.229
Pb1 Pb 0.000 0.000 0.460
Pb2 Pb 0.500 0.500 0.743
# - DOS at the Fermi energy (states/eV/atom) = 1.08
# - final energy (eV for the cell shown) = -22.49

---

Record 3
# MgAl4Cu (PBE, relaxed)
data_MgAl4Cu
_cell_length_a 7.503
_cell_length_b 7.503
_cell_length_c 7.503
_cell_angle_alpha 90.00
_cell_angle_beta 90.00
_cell_angle_gamma 90.00
_space_group_name_H-M_alt 'F -4 3 m'
_space_group_IT_number 216
_space_group_name_Hall 'F -4 2 3'
loop_
_atom_site_label
_atom_site_type_symbol
_atom_site_fract_x
_atom_site_fract_y
_atom_site_fract_z
Mg1 Mg 0.000 0.000 0.000
Al1 Al 0.125 0.125 0.375
Cu1 Cu 0.250 0.250 0.750
# - DOS at the Fermi energy (states/eV/atom) = 0.69
# - final energy (eV for the cell shown) = -78.67

---

Record 4
# InSiAg (PBE, relaxed)
data_InSiAg
_cell_length_a 4.456
_cell_length_b 3.253
_cell_length_c 8.431
_cell_angle_alpha 90.00
_cell_angle_beta 101.89
_cell_angle_gamma 90.00
_space_group_name_H-M_alt 'P 1 21/m 1'
_space_group_IT_number 11
_space_group_name_Hall '-P 2yb'
loop_
_atom_site_label
_atom_site_type_symbol
_atom_site_fract_x
_atom_site_fract_y
_atom_site_fract_z
In1 In 0.193 0.250 0.381
Si1 Si 0.201 0.750 0.985
Ag1 Ag 0.368 0.250 0.756
# - DOS at the Fermi energy (states/eV/atom) = 0.35
# - formation energy without anion corrections (meV/atom) = 207

---

Record 5
# La2Pr6SmEr3 (PBE, relaxed)
data_La2Pr6SmEr3
_cell_length_a 6.360
_cell_length_b 11.024
_cell_length_c 12.064
_cell_angle_alpha 90.00
_cell_angle_beta 100.12
_cell_angle_gamma 90.00
_space_group_name_H-M_alt 'C 1 2/m 1'
_space_group_IT_number 12
_space_group_name_Hall '-C 2y'
loop_
_atom_site_label
_atom_site_type_symbol
_atom_site_fract_x
_atom_site_fract_y
_atom_site_fract_z
La1 La 0.000 0.167 0.000
Pr1 Pr 0.247 0.500 0.744
Pr2 Pr 0.248 0.166 0.744
Sm1 Sm 0.000 0.500 0.000
Er1 Er 0.000 0.000 0.500
Er2 Er 0.000 0.334 0.500
# - DOS at the Fermi energy (states/eV/atom) = 1.38
# - final energy (eV for the cell shown) = -113.42

---

Record 6
# PmGa4Pt3 (PBE, relaxed)
data_PmGa4Pt3
_cell_length_a 4.164
_cell_length_b 4.164
_cell_length_c 8.767
_cell_angle_alpha 90.00
_cell_angle_beta 90.00
_cell_angle_gamma 90.00
_space_group_name_H-M_alt 'P 4/m m m'
_space_group_IT_number 123
_space_group_name_Hall '-P 4 2'
loop_
_atom_site_label
_atom_site_type_symbol
_atom_site_fract_x
_atom_site_fract_y
_atom_site_fract_z
Pm1 Pm 0.000 0.000 0.000
Ga1 Ga 0.000 0.500 0.324
Pt1 Pt 0.000 0.000 0.500
Pt2 Pt 0.500 0.500 0.153
# - DOS at the Fermi energy (states/eV/atom) = 0.63
# - final energy (eV for the cell shown) = -41.31

---

Record 7
# Tb2Dy12Sc5 (PBE, relaxed)
data_Tb2Dy12Sc5
_cell_length_a 15.943
_cell_length_b 8.729
_cell_length_c 8.266
_cell_angle_alpha 90.00
_cell_angle_beta 90.67
_cell_angle_gamma 90.00
_space_group_name_H-M_alt 'C 1 2/m 1'
_space_group_IT_number 12
_space_group_name_Hall '-C 2y'
loop_
_atom_site_label
_atom_site_type_symbol
_atom_site_fract_x
_atom_site_fract_y
_atom_site_fract_z
Tb1 Tb 0.000 0.213 0.000
Dy1 Dy 0.054 0.500 0.282
Dy2 Dy 0.110 0.288 0.616
Dy3 Dy 0.167 0.000 0.869
Dy4 Dy 0.186 0.205 0.223
Sc1 Sc 0.000 0.000 0.500
Sc2 Sc 0.146 0.500 0.942
Sc3 Sc 0.248 0.000 0.546
# - DOS at the Fermi energy (states/eV/atom) = 1.52
# - final energy (eV for the cell shown) = -186.65

---

Record 8
# LiTlSn2 (PBE, relaxed)
data_LiTlSn2
_cell_length_a 4.8090
_cell_length_b 4.8090
_cell_length_c 16.2898
_cell_angle_alpha 90.00
_cell_angle_beta 90.00
_cell_angle_gamma 120.00
_space_group_name_H-M_alt 'R 3 m'
_space_group_IT_number 160
_space_group_name_Hall 'R 3 -2"'
loop_
_atom_site_label
_atom_site_type_symbol
_atom_site_fract_x
_atom_site_fract_y
_atom_site_fract_z
Li1 Li 0.0000 0.0000 0.0000
Tl1 Tl 0.0000 0.0000 0.1949
Sn1 Sn 0.0000 0.0000 0.4161
Sn2 Sn 0.0000 0.0000 0.6504
# - DOS at the Fermi energy (states/eV/atom) = 0.39
# - final energy (eV for the cell shown) = -37.72

---

Record 9
# Pr9Ho2Er (PBE, relaxed)
data_Pr9Ho2Er
_cell_length_a 5.187
_cell_length_b 5.187
_cell_length_c 15.560
_cell_angle_alpha 90.00
_cell_angle_beta 90.00
_cell_angle_gamma 90.00
_space_group_name_H-M_alt 'P 4/m m m'
_space_group_IT_number 123
_space_group_name_Hall '-P 4 2'
loop_
_atom_site_label
_atom_site_type_symbol
_atom_site_fract_x
_atom_site_fract_y
_atom_site_fract_z
Pr1 Pr 0.000 0.000 0.000
Pr2 Pr 0.000 0.000 0.333
Pr3 Pr 0.000 0.500 0.166
Pr4 Pr 0.000 0.500 0.500
Ho1 Ho 0.500 0.500 0.333
Er1 Er 0.500 0.500 0.000
# - DOS at the Fermi energy (states/eV/atom) = 1.65
# - final energy (eV for the cell shown) = -56.57

---

Record 10
# NaTlZnTe2 (PBE, relaxed)
data_NaTlZnTe2
_cell_length_a 16.506
_cell_length_b 4.581
_cell_length_c 11.124
_cell_angle_alpha 90.00
_cell_angle_beta 126.39
_cell_angle_gamma 90.00
_space_group_name_H-M_alt 'C 1 2/m 1'
_space_group_IT_number 12
_space_group_name_Hall '-C 2y'
loop_
_atom_site_label
_atom_site_type_symbol
_atom_site_fract_x
_atom_site_fract_y
_atom_site_fract_z
Na1 Na 0.138 0.000 0.368
Tl1 Tl 0.218 0.500 0.156
Zn1 Zn 0.050 0.500 0.692
Te1 Te 0.092 0.000 0.857
Te2 Te 0.146 0.500 0.559
# - formation energy without anion corrections (meV/atom) = -505

---

no.,calculated volume (Å³ per cell),total magnetization (μB per atom)
1,186.0,0.826
2,113.9,0.000
3,422.4,0.000
4,119.6,0.000
5,832.7,0.000
6,152.0,0.000
7,1150.3,0.000
8,326.3,0.000
9,418.6,0.000
10,677.2,0.000